Below is TbSm2Dy7 after structural relaxation, with properties calculated at the PBE level.

extended XYZ file:
```
10
Lattice="6.0931 0.8828 0.3813 0.9671 8.9552 -2.7446 0.7070 -0.3081 6.1095" Properties=species:S:1:pos:R:3 pbc="T T T"
Dy 1.0577 7.0424 0.2424
Dy 3.7093 1.0859 4.8016
Dy 3.5301 4.9190 -1.1817
Dy 0.5355 3.5197 0.1202
Dy 4.0579 8.4440 -1.0555
Dy 6.7095 2.4875 3.5037
Dy 7.2317 6.0102 3.6259
Tb 0.0000 0.0000 0.0000
Sm 4.1451 6.5271 1.9350
Sm 3.6221 3.0029 1.8111
```

Output
- space-group type = No. 2
- energy of formation from the pure elements (meV/atom) = 17

***

Below is Co2SbP after structural relaxation, with properties calculated at the PBE level.

extended XYZ file:
```
4
Lattice="-3.4629 1.8121 -0.9550 -3.6445 0.1925 1.6933 0.7915 4.4558 2.7792" Properties=species:S:1:pos:R:3 pbc="T T T"
P -3.5447 2.4819 1.2746
Sb -4.6046 4.9344 2.7017
Co -1.4048 2.0910 1.1823
Co -7.0272 2.1878 0.8559
```

Output
- formation energy (no corrections) (eV/atom) = -0.178
- space-group type = No. 8

***

no.,relative energy among the computed polymorphs (eV/atom)
1,0.000
2,0.042